(1)
# CaCdTc

CaCdTc after structural relaxation (PBE, Alexandria via LeMat-Bulk).

Calculated values
The formation energy comes out at 467 meV per atom. The value obtained for the density is 6.744 g/cm³. The calculation puts the raw total energy at -3.9607 eV/atom.

Structure (POSCAR):
```
CaCdTc
1.0
5.016 0.000 0.000
-2.508 4.344 0.000
0.000 0.000 2.831
Ca Tc Cd
1 1 1
direct
0.000 0.000 0.996
0.333 0.667 0.572
0.667 0.333 0.432
```



(2)
# CaCd2Tc

CaCd2Tc after structural relaxation (PBE, Alexandria via LeMat-Bulk).

Calculated values
The formation energy comes out at 330 meV per atom. The value obtained for the density is 7.228 g/cm³. The calculation puts the raw total energy at -3.2198 eV/atom.

Structure (POSCAR):
```
CaCd2Tc
1.0
5.385 0.015 0.000
1.872 5.049 0.000
-3.629 -2.532 3.069
Cd Ca Tc
2 1 1
direct
0.000 0.000 0.000
0.250 0.750 0.500
0.750 0.250 0.500
0.500 0.500 0.000
```



(3)
# CaCd2Tc

CaCd2Tc after structural relaxation (PBE, Alexandria via LeMat-Bulk).

Calculated values
The formation energy comes out at 269 meV per atom. The value obtained for the density is 6.951 g/cm³. The calculation puts the raw total energy at -3.2805 eV/atom.

Structure (POSCAR):
```
CaCd2Tc
1.0
3.530 0.003 0.000
-0.003 3.530 0.000
0.000 0.000 6.958
Ca Cd Tc
1 2 1
direct
0.500 0.500 0.750
0.000 0.000 0.039
0.000 0.000 0.461
0.500 0.500 0.250
```



(4)
# CaCd2Tc

CaCd2Tc after structural relaxation (PBE, Alexandria via LeMat-Bulk).

Calculated values
The formation energy comes out at 631 meV per atom. The value obtained for the density is 6.169 g/cm³. The calculation puts the raw total energy at -2.9187 eV/atom.

Structure (POSCAR):
```
CaCd2Tc
1.0
4.374 0.000 0.000
0.000 4.374 0.000
2.187 2.187 10.211
Tc Cd Ca
2 4 2
direct
0.750 0.250 0.500
0.000 0.000 0.000
0.875 0.921 0.750
0.079 0.625 0.250
0.671 0.125 0.250
0.375 0.329 0.750
0.500 0.500 0.000
0.250 0.750 0.500
```



(5)
# CaCd2Tc

CaCd2Tc after structural relaxation (PBE, Alexandria via LeMat-Bulk).

Calculated values
The formation energy comes out at 377 meV per atom. The value obtained for the density is 7.237 g/cm³. The calculation puts the raw total energy at -3.1726 eV/atom.

Structure (POSCAR):
```
CaCd2Tc
1.0
-0.093 -1.684 -2.481
-1.818 -4.213 2.927
-5.963 -1.191 1.033
Cd Tc Ca
2 1 1
direct
0.000 0.000 0.000
0.500 0.500 0.000
0.500 0.500 0.500
0.000 0.000 0.500
```



(6)
# CaCd3Te

CaCd3Te after structural relaxation (PBE, Alexandria via LeMat-Bulk).

Calculated values
The value obtained for the density is 4.131 g/cm³. The calculation puts the raw total energy at -1.1075 eV/atom.

Structure (POSCAR):
```
CaCd3Te
1.0
-0.792 1.481 5.632
0.568 -5.637 1.563
5.795 0.755 0.617
Cd Te Ca
3 1 1
direct
0.000 0.000 0.500
0.500 0.000 0.000
0.000 0.500 0.000
0.500 0.500 0.500
0.000 0.000 0.000
```



(7)
# CaCd2Te2

CaCd2Te2 after structural relaxation (PBE, Alexandria via LeMat-Bulk).

Calculated values
The value obtained for the density is 5.774 g/cm³. The calculation puts the raw total energy at -2.4861 eV/atom.

Structure (POSCAR):
```
CaCd2Te2
1.0
8.291 0.000 0.000
0.000 8.291 0.000
0.000 0.000 4.352
Te Cd Ca
4 4 2
direct
0.327 0.827 0.000
0.673 0.173 0.000
0.173 0.327 0.000
0.827 0.673 0.000
0.866 0.366 0.500
0.366 0.134 0.500
0.134 0.634 0.500
0.634 0.866 0.500
0.500 0.500 0.000
0.000 0.000 0.000
```



(8)
# Ca4CdTe

Ca4CdTe after structural relaxation (PBE, Alexandria via LeMat-Bulk).

Calculated values
The value obtained for the density is 3.063 g/cm³. The calculation puts the raw total energy at -1.9955 eV/atom.

Structure (POSCAR):
```
Ca4CdTe
1.0
-1.792 4.159 4.999
0.911 6.651 -0.656
-5.322 4.076 -0.748
Cd Ca Te
1 4 1
direct
0.750 0.750 0.750
0.876 0.375 0.375
0.375 0.876 0.375
0.375 0.375 0.375
0.375 0.375 0.876
0.000 0.000 0.000
```



(9)
# CaCdTe2

CaCdTe2 after structural relaxation (PBE, Alexandria via LeMat-Bulk).

Calculated values
The value obtained for the density is 5.848 g/cm³. The calculation puts the raw total energy at -2.9656 eV/atom.

Structure (POSCAR):
```
CaCdTe2
1.0
4.175 -0.006 0.000
0.004 4.175 0.000
0.000 0.000 6.640
Cd Te Ca
1 2 1
direct
0.500 0.500 0.750
0.000 0.000 0.010
0.000 0.000 0.490
0.500 0.500 0.250
```



(10)
# CaCd2Te

CaCd2Te after structural relaxation (PBE, Alexandria via LeMat-Bulk).

Calculated values
The value obtained for the density is 5.790 g/cm³. The calculation puts the raw total energy at -2.0772 eV/atom.

Structure (POSCAR):
```
CaCd2Te
1.0
4.229 0.000 0.000
0.000 4.229 0.000
0.000 0.000 6.294
Ca Cd Te
1 2 1
direct
0.500 0.500 0.750
0.000 0.000 0.490
0.000 0.000 0.010
0.500 0.500 0.250
```



(11)
# CaCdTe2

CaCdTe2 after structural relaxation (PBE, Alexandria via LeMat-Bulk).

Calculated values
The value obtained for the density is 5.999 g/cm³. The calculation puts the raw total energy at -2.9759 eV/atom.

Structure (POSCAR):
```
CaCdTe2
1.0
-5.260 0.189 -0.608
1.001 -2.073 -4.772
-0.294 -3.709 1.572
Ca Te Cd
1 2 1
direct
0.500 0.000 0.500
0.500 0.500 0.000
0.000 0.000 0.000
0.000 0.500 0.500
```



(12)
# CaCd2Te2

CaCd2Te2 after structural relaxation (PBE, Alexandria via LeMat-Bulk).

Calculated values
The value obtained for the density is 5.771 g/cm³. The calculation puts the raw total energy at -2.5541 eV/atom.

Structure (POSCAR):
```
CaCd2Te2
1.0
-1.899 -3.680 0.730
3.333 -1.280 2.221
-2.748 0.703 8.510
Cd Te Ca
2 2 1
direct
0.750 0.250 0.500
0.250 0.750 0.500
0.592 0.592 0.817
0.408 0.408 0.183
0.000 0.000 0.000
```



Copy entry 9 word for word.
# CaCdTe2

CaCdTe2 after structural relaxation (PBE, Alexandria via LeMat-Bulk).

Calculated values
The value obtained for the density is 5.848 g/cm³. The calculation puts the raw total energy at -2.9656 eV/atom.

Structure (POSCAR):
```
CaCdTe2
1.0
4.175 -0.006 0.000
0.004 4.175 0.000
0.000 0.000 6.640
Cd Te Ca
1 2 1
direct
0.500 0.500 0.750
0.000 0.000 0.010
0.000 0.000 0.490
0.500 0.500 0.250
```



Look up the raw total energy of the second one. -3.2198 eV/atom



What is the raw total energy in the second record? -3.2198 eV/atom



Which formula does entry 4 have? CaCd2Tc